Material: TlCd2NiHg
Method: DFT, PBE
State: optimized geometry

Formation enthalpy at 0 K ... 0.107 eV per atom
Offset from the most stable computed form ... 0.00 eV per formula unit

Cell lengths 5.1190, 5.1190, 5.0365 Å; angles 90.00, 90.00, 90.00 degrees
Closest atoms and distances in Å follow each position.
Element x y z (fractional)
Tl1 0.0000 0.0000 0.5000  2 Ni 2.52
Hg1 0.5000 0.5000 0.5000  8 Cd 3.59, 4 Tl 3.62
Cd1 0.0000 0.5000 0.0000  2 Ni 2.56
Cd2 0.5000 0.0000 0.0000  2 Ni 2.56
Ni1 0.0000 0.0000 0.0000  2 Tl 2.52, 4 Cd 2.56

---

Material: Mg3PdAu6
Method: DFT, PBE
State: optimized geometry

Formation enthalpy at 0 K ... -0.433 eV per atom

Cell lengths 7.6132, 7.6132, 7.6132 Å; angles 107.33, 107.33, 107.33 degrees
Closest atoms and distances in Å follow each position.
Element x y z (fractional)
Au1 0.6119 0.4931 0.1810  6 Au 2.75-3.03, 4 Mg 2.77-2.99, 1 Pd 2.79
Mg1 0.2091 0.4377 0.1055  7 Au 2.76-3.02, 2 Pd 2.95-2.96
Pd1 0.0000 0.0000 0.0000  6 Au 2.80, 6 Mg 2.96
Au2 0.3881 0.5069 0.8190  6 Au 2.75-3.03, 4 Mg 2.77-2.99, 1 Pd 2.79
Au3 0.7299 0.8923 0.1715  5 Au 2.75-3.03, 3 Mg 2.76-3.02, 1 Pd 2.80
Mg2 0.1055 0.2091 0.4377  7 Au 2.76-3.02, 2 Pd 2.95-2.96
Pd2 0.5000 0.5000 0.5000  6 Au 2.79, 6 Mg 2.95
Mg3 0.8945 0.7909 0.5623  7 Au 2.76-3.02, 2 Pd 2.95-2.96
Au4 0.8190 0.3881 0.5069  6 Au 2.75-3.03, 4 Mg 2.77-2.99, 1 Pd 2.79
Au5 0.1077 0.8285 0.2701  5 Au 2.75-3.03, 3 Mg 2.76-3.02, 1 Pd 2.80
Mg4 0.4377 0.1055 0.2091  7 Au 2.76-3.02, 2 Pd 2.95-2.96
Au6 0.1715 0.7299 0.8923  5 Au 2.75-3.03, 3 Mg 2.76-3.02, 1 Pd 2.80
Au7 0.1810 0.6119 0.4931  6 Au 2.75-3.03, 4 Mg 2.77-2.99, 1 Pd 2.79
Au8 0.8923 0.1715 0.7299  5 Au 2.75-3.03, 3 Mg 2.76-3.02, 1 Pd 2.80
Au9 0.2701 0.1077 0.8285  5 Au 2.75-3.03, 3 Mg 2.76-3.02, 1 Pd 2.80
Mg5 0.7909 0.5623 0.8945  7 Au 2.76-3.02, 2 Pd 2.95-2.96
Au10 0.5069 0.8190 0.3881  6 Au 2.75-3.03, 4 Mg 2.77-2.99, 1 Pd 2.79
Au11 0.8285 0.2701 0.1077  5 Au 2.75-3.03, 3 Mg 2.76-3.02, 1 Pd 2.80
Au12 0.4931 0.1810 0.6119  6 Au 2.75-3.03, 4 Mg 2.77-2.99, 1 Pd 2.79
Mg6 0.5623 0.8945 0.7909  7 Au 2.76-3.02, 2 Pd 2.95-2.96

---

Material: Ac5Ni2I2
Method: DFT, PBE
State: optimized geometry

Formation energy (no corrections) ... -482 meV/atom

Cell lengths 7.8554, 9.1346, 9.5257 Å; angles 90.00, 65.65, 90.00 degrees
Closest atoms and distances in Å follow each position.
Element x y z (fractional)
I1 0.2077 0.0000 0.5845  7 Ac 3.61-3.68
Ac1 0.0000 0.0000 0.0000  2 Ni 2.92
Ac2 0.7517 0.8315 0.7784  3 Ni 3.04-3.24
Ni1 0.8489 0.6097 0.0000  7 Ac 2.92-3.24, 1 Ni 3.11
Ni2 0.1511 0.3903 0.0000  7 Ac 2.92-3.24, 1 Ni 3.11
Ac3 0.2483 0.1685 0.2216  3 Ni 3.04-3.24
Ac4 0.0302 0.6685 0.2216  3 Ni 3.04-3.24
I2 0.7923 0.0000 0.4155  7 Ac 3.61-3.68
I3 0.2923 0.5000 0.4155  7 Ac 3.61-3.68
Ac5 0.5000 0.5000 0.0000  2 Ni 2.92
Ni3 0.3489 0.8903 0.0000  7 Ac 2.92-3.24, 1 Ni 3.11
Ac6 0.5302 0.8315 0.2216  3 Ni 3.04-3.24
Ac7 0.7483 0.3315 0.2216  3 Ni 3.04-3.24
Ac8 0.9698 0.3315 0.7784  3 Ni 3.04-3.24
Ac9 0.4698 0.1685 0.7784  3 Ni 3.04-3.24
Ni4 0.6511 0.1097 0.0000  7 Ac 2.92-3.24, 1 Ni 3.11
Ac10 0.2517 0.6685 0.7784  3 Ni 3.04-3.24
I4 0.7077 0.5000 0.5845  7 Ac 3.61-3.68

---

| no. | E (eV for the cell shown) | total moment (μB/f.u.) |
| --- | --- | --- |
| 1 | -9.7 | 0.0 |
| 2 | -68.0 | 0.0 |
| 3 | -79.1 | 0.0 |